--- one ---
# TlPBr

TlPBr after structural relaxation (PBE, Alexandria via LeMat-Bulk).

Its volume is 27.64 Å³ per atom.

The space group is F-43m (No. 216) and the conventional cell measures 6.9225, 6.9225 and 6.9225 Å, with angles of 90.00, 90.00 and 90.00 degrees. Symmetry generates all atoms from Tl at (0.0000, 0.0000, 0.0000), P at (0.2500, 0.2500, 0.7500) and Br at (0.0000, 0.0000, 0.5000).

--- two ---
# TlPBr

TlPBr after structural relaxation (PBE, Alexandria via LeMat-Bulk).

Its volume is 26.96 Å³ per atom.

The space group is Fmm2 (No. 42) and the conventional cell measures 4.4413, 6.3042 and 11.5548 Å, with angles of 90.00, 90.00 and 90.00 degrees. Symmetry generates all atoms from Tl at (0.0000, 0.0000, 0.0000), P at (0.0000, 0.0000, 0.6222) and Br at (0.0000, 0.0000, 0.3051).

--- three ---
# TlPBr

TlPBr after structural relaxation (PBE, Alexandria via LeMat-Bulk).

Its volume is 32.63 Å³ per atom.

The space group is I4mm (No. 107) and the conventional cell measures 4.1356, 4.1356 and 11.4462 Å, with angles of 90.00, 90.00 and 90.00 degrees. Symmetry generates all atoms from Tl at (0.0000, 0.0000, 0.0000), P at (0.0000, 0.0000, 0.4954) and Br at (0.0000, 0.0000, 0.2927).

We find three to be the most stable, with the next structure 27.6 kJ/mol of atoms higher.